{
  "formula": "Zr2Al3C4",
  "functional": "PBEsol",
  "state": "optimized geometry",
  "total_energy_ev_per_cell": -147.34,
  "mass_density_g_cm3": 4.847,
  "m_tot_mub_per_cell": 0.000,
  "e_form_ev_per_atom": -0.515,
  "cell": [[-1.069, 0.335, -3.144], [2.530, -2.065, 0.691], [-14.349, -16.537, 3.116]],
  "species": ["Zr", "Zr", "Zr", "Zr", "Al", "Al", "Al", "Al", "Al", "Al", "C", "C", "C", "C", "C", "C", "C", "C"],
  "fractional_positions": [[0.333, 0.667, 0.442], [0.667, 0.333, 0.558], [0.333, 0.667, 0.058], [0.667, 0.333, 0.942], [0.000, 0.000, 0.159], [0.000, 0.000, 0.659], [0.000, 0.000, 0.841], [0.667, 0.333, 0.250], [0.000, 0.000, 0.341], [0.333, 0.667, 0.750], [0.667, 0.333, 0.128], [0.333, 0.667, 0.872], [0.333, 0.667, 0.628], [0.000, 0.000, 0.500], [0.667, 0.333, 0.372], [0.000, 0.000, 0.250], [0.000, 0.000, 0.000], [0.000, 0.000, 0.750]]
}

{
  "formula": "CaPrV2O6",
  "functional": "PBEsol",
  "state": "optimized geometry",
  "total_energy_ev_per_cell": -173.50,
  "raw_formation_energy_mev_per_atom": -2867,
  "mass_density_g_cm3": 5.698,
  "m_tot_mub_per_cell": 5.363,
  "cell": [[-1.925, -1.632, 4.732], [3.979, -3.670, 0.353], [4.381, 5.090, 3.539]],
  "species": ["Ca", "Ca", "Pr", "Pr", "V", "V", "V", "V", "O", "O", "O", "O", "O", "O", "O", "O", "O", "O", "O", "O"],
  "fractional_positions": [[0.508, 0.790, 0.000], [0.008, 0.210, 0.500], [0.993, 0.286, 0.000], [0.493, 0.714, 0.500], [0.000, 0.752, 0.750], [0.000, 0.752, 0.250], [0.500, 0.248, 0.250], [0.500, 0.248, 0.750], [0.934, 0.764, 0.500], [0.783, 0.033, 0.785], [0.783, 0.033, 0.215], [0.713, 0.536, 0.212], [0.713, 0.536, 0.788], [0.573, 0.261, 0.500], [0.434, 0.236, 0.000], [0.283, 0.967, 0.715], [0.283, 0.967, 0.285], [0.213, 0.464, 0.712], [0.213, 0.464, 0.288], [0.073, 0.739, 0.000]]
}

{
  "formula": "BaLiIn3",
  "functional": "PBEsol",
  "state": "optimized geometry",
  "total_energy_ev_per_cell": -9.23,
  "mass_density_g_cm3": 3.327,
  "m_tot_mub_per_cell": 0.002,
  "e_form_ev_per_atom": 0.768,
  "cell": [[6.248, 0.000, 0.000], [0.000, 6.248, 0.000], [0.000, 0.000, 6.248]],
  "species": ["Li", "Ba", "In", "In", "In"],
  "fractional_positions": [[0.500, 0.500, 0.500], [0.000, 0.000, 0.000], [0.000, 0.500, 0.000], [0.000, 0.000, 0.500], [0.500, 0.000, 0.000]]
}

{
  "formula": "CrTc",
  "functional": "PBEsol",
  "state": "optimized geometry",
  "total_energy_ev_per_cell": -42.00,
  "mass_density_g_cm3": 9.723,
  "m_tot_mub_per_cell": 0.001,
  "e_form_ev_per_atom": 0.254,
  "cell": [[2.686, 0.000, 0.000], [1.343, 2.326, 0.000], [1.343, 0.775, 8.200]],
  "species": ["Cr", "Cr", "Tc", "Tc"],
  "fractional_positions": [[0.130, 0.130, 0.609], [0.870, 0.870, 0.391], [0.621, 0.621, 0.137], [0.379, 0.379, 0.863]]
}

{
  "formula": "As2HRhBr",
  "functional": "PBEsol",
  "state": "optimized geometry",
  "total_energy_ev_per_cell": -20.45,
  "mass_density_g_cm3": 7.437,
  "m_tot_mub_per_cell": 0.000,
  "cell": [[3.914, 0.000, 0.000], [0.000, 3.914, 0.000], [0.000, 0.000, 4.862]],
  "species": ["H", "As", "As", "Rh", "Br"],
  "fractional_positions": [[0.000, 0.000, 0.000], [0.000, 0.500, 0.000], [0.500, 0.000, 0.000], [0.500, 0.500, 0.500], [0.000, 0.000, 0.500]]
}

{
  "formula": "AlP2IrO",
  "functional": "PBEsol",
  "state": "optimized geometry",
  "total_energy_ev_per_cell": -29.98,
  "raw_formation_energy_mev_per_atom": 154,
  "mass_density_g_cm3": 6.794,
  "m_tot_mub_per_cell": 0.000,
  "cell": [[3.247, 0.000, 0.000], [0.000, 4.730, 0.000], [0.000, 0.000, 4.730]],
  "species": ["P", "P", "Ir", "Al", "O"],
  "fractional_positions": [[0.000, 0.000, 0.500], [0.000, 0.500, 0.000], [0.500, 0.500, 0.500], [0.000, 0.000, 0.000], [0.500, 0.000, 0.000]]
}